VASP calculation (PBE) on BeSbH after structural relaxation.

Summary:
For the final energy, the calculation gives -87.353 eV per cell. The energy above the lowest structure with this stoichiometry is 0.067 eV/atom. Its size of the total moment is 0.00 μB per atom. The symmetry is F222, No. 22.

Cell: 11.8066 4.0291 7.8411 Å, 90.00 90.00 90.00°
Atoms (fractional coordinates):
H: 0.0000 0.0000 0.1552
H: 0.0000 0.0000 0.8448
H: 0.5000 0.5000 0.8448
H: 0.5000 0.5000 0.1552
H: 0.5000 0.0000 0.3448
H: 0.5000 0.0000 0.6552
H: 0.0000 0.5000 0.6552
H: 0.0000 0.5000 0.3448
Be: 0.5626 0.2500 0.7500
Be: 0.0626 0.7500 0.7500
Be: 0.0626 0.2500 0.2500
Be: 0.4374 0.2500 0.2500
Be: 0.4374 0.7500 0.7500
Be: 0.5626 0.7500 0.2500
Be: 0.9374 0.2500 0.7500
Be: 0.9374 0.7500 0.2500
Sb: 0.3347 0.0000 0.0000
Sb: 0.1653 0.0000 0.5000
Sb: 0.6653 0.0000 0.0000
Sb: 0.3347 0.5000 0.5000
Sb: 0.8347 0.0000 0.5000
Sb: 0.8347 0.5000 0.0000
Sb: 0.6653 0.5000 0.5000
Sb: 0.1653 0.5000 0.0000